Record 1
First-principles (PBE) data for an optimized crystal structure of AcCdGePd3, as listed in Alexandria.

Values from the calculation:
**Calculated volume**: 22.271 Å³ per atom
**Energy relative to the elements**: -518 meV/atom

a = 7.0292 Å, b = 7.0292 Å, c = 7.1616 Å
α = 90.00°, β = 90.00°, γ = 130.95°
With the nearest neighbours (Å) after each atom.
Positions (direct):
Ac  0.1855  0.8145  0.7500  6 Pd 2.96-3.29, 1 Ge 3.23
Ac  0.8145  0.1855  0.2500  6 Pd 2.96-3.29, 1 Ge 3.23
Cd  0.1384  0.8616  0.2500  5 Pd 2.75-2.89
Cd  0.8616  0.1384  0.7500  5 Pd 2.75-2.89
Ge  0.4383  0.5617  0.7500  5 Pd 2.47-2.67
Ge  0.5617  0.4383  0.2500  5 Pd 2.47-2.67
Pd  0.2425  0.2425  0.0000  2 Ge 2.47
Pd  0.2425  0.2425  0.5000  2 Ge 2.47
Pd  0.3532  0.6468  0.2500  1 Ge 2.67, 1 Cd 2.75, 2 Ac 2.96
Pd  0.6468  0.3532  0.7500  1 Ge 2.67, 1 Cd 2.75, 2 Ac 2.96
Pd  0.7575  0.7575  0.0000  2 Ge 2.47
Pd  0.7575  0.7575  0.5000  2 Ge 2.47

---

Record 2
First-principles (PBE) data for an optimized crystal structure of ZnOs, as listed in Alexandria.

Values from the calculation:
**Calculated volume**: 14.757 Å³ per atom
**Energy relative to the elements**: 441 meV/atom

a = 4.2353 Å, b = 4.2353 Å, c = 7.5998 Å
α = 90.00°, β = 90.00°, γ = 120.00°
With the nearest neighbours (Å) after each atom.
Positions (direct):
Zn  0.0000  0.0000  0.2500  3 Zn 2.45
Zn  0.0000  0.0000  0.7500  3 Zn 2.45
Zn  0.3333  0.6667  0.2500  3 Zn 2.45, 2 Os 2.52
Zn  0.6667  0.3333  0.7500  3 Zn 2.45, 2 Os 2.52
Os  0.3333  0.6667  0.5813  7 Zn 2.52-2.76, 4 Os 2.56-2.74
Os  0.3333  0.6667  0.9187  7 Zn 2.52-2.76, 4 Os 2.56-2.74
Os  0.6667  0.3333  0.0813  7 Zn 2.52-2.76, 4 Os 2.56-2.74
Os  0.6667  0.3333  0.4187  7 Zn 2.52-2.76, 4 Os 2.56-2.74

---

Record 3
First-principles (PBE) data for an optimized crystal structure of Nd2Tl5Cl12, as listed in Alexandria.

Values from the calculation:
**Formation energy from raw total energies**: -1.49 eV per atom
**Calculated volume**: 31.195 Å³ per atom

a = 9.5701 Å, b = 9.5701 Å, c = 7.5553 Å
α = 103.13°, β = 103.13°, γ = 62.69°
With the nearest neighbours (Å) after each atom.
Positions (direct):
Nd  0.2476  0.7524  0.0000  8 Cl 2.79-3.00
Nd  0.7524  0.2476  0.0000  8 Cl 2.79-3.00
Tl  0.1477  0.1477  0.5058  3 Cl 3.01-3.12
Tl  0.2570  0.2570  0.0041  5 Cl 3.12-3.39
Tl  0.5000  0.5000  0.5000  6 Cl 2.84-2.96
Tl  0.7430  0.7430  0.9959  5 Cl 3.12-3.39
Tl  0.8523  0.8523  0.4942  3 Cl 3.01-3.12
Cl  0.0231  0.0231  0.8021  2 Nd 2.96, 1 Tl 3.12, 1 Cl 3.27
Cl  0.0291  0.6417  0.7879  1 Nd 2.79, 2 Tl 3.01-3.12
Cl  0.2108  0.5954  0.2549  1 Tl 2.84, 1 Nd 2.86
Cl  0.3583  0.9709  0.2121  1 Nd 2.79, 2 Tl 3.01-3.12
Cl  0.4046  0.7892  0.7451  1 Tl 2.84, 1 Nd 2.86
Cl  0.4223  0.4223  0.8122  1 Tl 2.96, 2 Nd 3.00, 1 Cl 3.27
Cl  0.5777  0.5777  0.1878  1 Tl 2.96, 2 Nd 3.00, 1 Cl 3.27
Cl  0.5954  0.2108  0.2549  1 Tl 2.84, 1 Nd 2.86
Cl  0.6417  0.0291  0.7879  1 Nd 2.79, 2 Tl 3.01-3.12
Cl  0.7892  0.4046  0.7451  1 Tl 2.84, 1 Nd 2.86
Cl  0.9709  0.3583  0.2121  1 Nd 2.79, 2 Tl 3.01-3.12
Cl  0.9769  0.9769  0.1979  2 Nd 2.96, 1 Tl 3.12, 1 Cl 3.27

---

Record 4
First-principles (PBE) data for an optimized crystal structure of V2TeSe, as listed in Alexandria.

Values from the calculation:
**Formation energy from raw total energies**: -0.10 eV per atom
**Calculated volume**: 26.973 Å³ per atom

a = 5.9653 Å, b = 5.9653 Å, c = 12.1278 Å
α = 90.00°, β = 90.00°, γ = 90.00°
With the nearest neighbours (Å) after each atom.
Positions (direct):
V  0.2183  0.2500  0.1250  2 Se 2.49, 2 Te 2.71
V  0.2500  0.7183  0.3750  2 Se 2.49, 2 Te 2.71
V  0.2500  0.7817  0.8750  2 Se 2.49, 2 Te 2.71
V  0.2817  0.2500  0.6250  2 Se 2.49, 2 Te 2.71
V  0.7183  0.7500  0.6250  2 Se 2.49, 2 Te 2.71
V  0.7500  0.2183  0.8750  2 Se 2.49, 2 Te 2.71
V  0.7500  0.2817  0.3750  2 Se 2.49, 2 Te 2.71
V  0.7817  0.7500  0.1250  2 Se 2.49, 2 Te 2.71
Te  0.0000  0.0000  0.5000  4 V 2.71
Te  0.0000  0.5000  0.7500  4 V 2.71
Te  0.5000  0.0000  0.2500  4 V 2.71
Te  0.5000  0.5000  0.0000  4 V 2.71
Se  0.0000  0.0000  0.0000  4 V 2.49
Se  0.0000  0.5000  0.2500  4 V 2.49
Se  0.5000  0.0000  0.7500  4 V 2.49
Se  0.5000  0.5000  0.5000  4 V 2.49

---

Record 5
First-principles (PBE) data for an optimized crystal structure of Sc8P3S4O, as listed in Alexandria.

Values from the calculation:
**Formation energy from raw total energies**: -1.84 eV per atom
**Calculated volume**: 17.424 Å³ per atom

a = 7.3596 Å, b = 7.3596 Å, c = 7.3596 Å
α = 59.52°, β = 59.52°, γ = 59.52°
With the nearest neighbours (Å) after each atom.
Positions (direct):
Sc  0.2473  0.2473  0.2473  3 P 2.56, 3 S 2.62
Sc  0.2573  0.7366  0.7366  1 O 2.45, 2 P 2.56, 3 S 2.63-2.73
Sc  0.2634  0.2634  0.7427  1 O 2.45, 2 P 2.56, 3 S 2.63-2.73
Sc  0.2634  0.7427  0.2634  1 O 2.45, 2 P 2.56, 3 S 2.63-2.73
Sc  0.7366  0.2573  0.7366  1 O 2.45, 2 P 2.56, 3 S 2.63-2.73
Sc  0.7366  0.7366  0.2573  1 O 2.45, 2 P 2.56, 3 S 2.63-2.73
Sc  0.7427  0.2634  0.2634  1 O 2.45, 2 P 2.56, 3 S 2.63-2.73
Sc  0.7527  0.7527  0.7527  3 P 2.56, 3 S 2.62
P  0.0000  0.0000  0.5000  6 Sc 2.56
P  0.0000  0.5000  0.0000  6 Sc 2.56
P  0.5000  0.0000  0.0000  6 Sc 2.56
S  0.0000  0.0000  0.0000  6 Sc 2.73
S  0.0000  0.5000  0.5000  6 Sc 2.62-2.63
S  0.5000  0.0000  0.5000  6 Sc 2.62-2.63
S  0.5000  0.5000  0.0000  6 Sc 2.62-2.63
O  0.5000  0.5000  0.5000  6 Sc 2.45

---

Record 6
First-principles (PBE) data for an optimized crystal structure of Si2N, as listed in Alexandria.

Values from the calculation:
**Formation energy from raw total energies**: -0.22 eV per atom
**Calculated volume**: 15.100 Å³ per atom

a = 3.8667 Å, b = 4.6572 Å, c = 5.4176 Å
α = 87.71°, β = 81.52°, γ = 69.88°
With the nearest neighbours (Å) after each atom.
Positions (direct):
Si  0.0000  0.0000  0.0000  2 N 1.75-1.76
Si  0.1029  0.5941  0.4976  2 N 1.75-1.82
Si  0.4080  0.2784  0.8882  1 N 1.81
Si  0.7232  0.2806  0.4791  1 N 1.76
N  0.1334  0.6660  0.8191  3 Si 1.75-1.82
N  0.9624  0.9291  0.3232  3 Si 1.75-1.76